Material: CaAc12Ni6
Method: DFT, PBE
State: relaxed

a b c (Å): 9.3946 9.3946 9.3946
angles (deg): 109.47 109.47 109.47
Fractional coordinates of all 19 atoms:
Ca  0.0000  0.0000  0.0000
Ac  0.1334  0.3181  0.8153
Ac  0.1847  0.5028  0.3181
Ac  0.1847  0.8666  0.6819
Ac  0.3181  0.1847  0.5028
Ac  0.3181  0.8153  0.1334
Ac  0.4972  0.6819  0.8153
Ac  0.5028  0.3181  0.1847
Ac  0.6819  0.1847  0.8666
Ac  0.6819  0.8153  0.4972
Ac  0.8153  0.1334  0.3181
Ac  0.8153  0.4972  0.6819
Ac  0.8666  0.6819  0.1847
Ni  0.1155  0.5000  0.6155
Ni  0.3845  0.8845  0.5000
Ni  0.5000  0.3845  0.8845
Ni  0.5000  0.6155  0.1155
Ni  0.6155  0.1155  0.5000
Ni  0.8845  0.5000  0.3845

As for the energy: -4.70 eV/atom. For the formation energy, the calculation gives -0.174 eV per atom.